# 1
Density functional theory data (GGA-PBE) for a relaxed structure of Pr5Sm2Sb5.

Output
Final energy   -5.42 eV/atom
DOS(E_F)   9.8 states/eV/f.u.

Unit cell a=14.744 b=4.486 c=13.065 alpha=90.00 beta=108.91 gamma=90.00
Space group C2/m (No. 12)
One atom of each set of equivalent atoms:
Pr: 0.000 0.000 0.000 [2 per cell]
Pr: 0.160 0.000 0.542 [4 per cell]
Pr: 0.229 0.000 0.847 [4 per cell]
Sm: 0.040 0.500 0.286 [4 per cell]
Sb: 0.000 0.500 0.500 [2 per cell]
Sb: 0.119 0.500 0.928 [4 per cell]
Sb: 0.189 0.000 0.293 [4 per cell]

=====

# 2
Density functional theory data (GGA-PBE) for a relaxed structure of Pr4SmSb5.

Output
Final energy   -5.63 eV/atom
DOS(E_F)   1.9 states/eV/f.u.

Unit cell a=4.545 b=6.418 c=22.686 alpha=90.00 beta=90.00 gamma=90.00
Space group Immm (No. 71)
One atom of each set of equivalent atoms:
Pr: 0.000 0.000 0.100 [4 per cell]
Pr: 0.000 0.000 0.301 [4 per cell]
Sm: 0.000 0.000 0.500 [2 per cell]
Sb: 0.000 0.500 0.098 [4 per cell]
Sb: 0.000 0.500 0.300 [4 per cell]
Sb: 0.000 0.500 0.500 [2 per cell]

=====

# 3
Density functional theory data (GGA-PBE) for a relaxed structure of Pr8SmSb6.

Output
Final energy   -5.34 eV/atom
DOS(E_F)   17.3 states/eV/f.u.

Unit cell a=8.3030 b=8.3030 c=25.9039 alpha=90.00 beta=90.00 gamma=120.00
Space group R-3 (No. 148, hexagonal axes)
One atom of each set of equivalent atoms:
Pr: 0.0000 0.0000 0.1667 [6 per cell]
Pr: 0.0007 0.3365 0.3786 [18 per cell]
Sm: 0.0000 0.0000 0.5000 [3 per cell]
Sb: 0.0004 0.3298 0.5669 [18 per cell]

=====

# 4
Density functional theory data (GGA-PBE) for a relaxed structure of Pr2SmSb3.

Output
Final energy   -5.63 eV/atom
DOS(E_F)   1.2 states/eV/f.u.

Unit cell a=4.533 b=6.402 c=13.583 alpha=90.00 beta=90.00 gamma=90.00
Space group Immm (No. 71)
One atom of each set of equivalent atoms:
Pr: 0.000 0.000 0.167 [4 per cell]
Sm: 0.000 0.000 0.500 [2 per cell]
Sb: 0.000 0.500 0.164 [4 per cell]
Sb: 0.000 0.500 0.500 [2 per cell]